# 1
The following is a meta-GGA SCAN calculation of AgCl2F at its PBEsol-relaxed geometry, from Alexandria.

```
AgCl2F
1.0
-4.244 1.308 2.164
-2.520 -1.837 -3.832
3.084 -5.980 4.023
F Ag Cl
2 2 4
Cartesian
-3.382 -0.265 -0.834
-2.271 -2.468 2.677
-1.409 -4.041 -0.322
0.000 0.000 0.000
1.477 -4.545 2.822
-3.903 -1.035 1.470
-1.923 -4.822 1.961
-3.011 -2.616 -1.543
```

Results
As for the symmetry: I-42d, No. 122. The formation energy without anion corrections comes out at -0.0426 eV per atom.

***

# 2
The following is a meta-GGA SCAN calculation of AgCl2F2 at its PBEsol-relaxed geometry, from Alexandria.

```
AgCl2F2
1.0
-3.575 4.416 -0.212
-0.852 -0.420 5.606
4.565 3.742 0.975
Cl F Ag
4 4 2
Cartesian
1.308 2.155 3.958
-0.694 4.257 5.266
-1.171 5.582 2.410
0.832 3.480 1.102
-1.756 0.990 4.423
-2.671 3.006 0.971
-0.970 0.755 1.641
-3.457 3.240 3.752
0.000 0.000 0.000
-2.214 1.998 2.697
```

Results
As for the symmetry: P4/mbm, No. 127. The formation energy without anion corrections comes out at -0.6844 eV per atom.

***

Number 1: DOS at the Fermi energy 3.95 states/eV/cell. Number 2: DOS at the Fermi energy 3.32 states/eV/cell.